No. 1
A relaxed structure of PrInSnHg. Source: Alexandria, functional GGA-PBE.

## Properties
The value obtained for the formation energy is -490 meV per atom. Its excess energy over the best structure of this formula in the dataset is 0.0 meV per atom. For the density of states at the Fermi level, the calculation gives 1.53 states/eV/f.u. The volume is 105.9 Å³/f.u.

extended XYZ file:
```
4
Lattice="4.649 0.000 0.000 0.000 4.673 0.000 0.000 0.000 4.874" Properties=species:S:1:pos:R:3 pbc="T T T"
Pr 0.000 0.000 0.000
In 0.000 2.337 2.437
Sn 2.324 2.337 0.000
Hg 2.324 0.000 2.437
```

---

No. 2
A relaxed structure of PrInSnHg. Source: Alexandria, functional GGA-PBE.

## Properties
The value obtained for the formation energy is -305 meV per atom. Its excess energy over the best structure of this formula in the dataset is 184.7 meV per atom. For the density of states at the Fermi level, the calculation gives 2.52 states/eV/f.u. The volume is 109.6 Å³/f.u.

extended XYZ file:
```
4
Lattice="0.000 3.798 3.798 3.798 0.000 3.798 3.798 3.798 0.000" Properties=species:S:1:pos:R:3 pbc="T T T"
Pr 0.000 0.000 0.000
In 3.798 3.798 3.798
Sn 5.697 5.697 5.697
Hg 1.899 1.899 1.899
```

---

No. 3
A relaxed structure of SrPr2In2Hg2. Source: Alexandria, functional GGA-PBE.

## Properties
The value obtained for the formation energy is -361 meV per atom. For the density of states at the Fermi level, the calculation gives 2.83 states/eV/f.u. The volume is 216.7 Å³/f.u.

extended XYZ file:
```
7
Lattice="2.507 1.447 9.952 -2.507 1.447 9.952 0.000 -2.895 9.952" Properties=species:S:1:pos:R:3 pbc="T T T"
Sr 0.000 0.000 0.000
Pr 0.000 0.000 3.850
Pr 0.000 0.000 26.006
In 0.000 0.000 7.560
In 0.000 0.000 22.296
Hg 0.000 0.000 12.139
Hg 0.000 0.000 17.717
```